Density functional theory data (PBE-GGA) for an optimized crystal structure of Ac2ErTeO8.

abc: 5.350 5.353 7.105
angles: 90.00 90.00 91.65
Fractional positions:
Ac  0.500  0.500  0.755
Ac  0.500  0.500  0.245
Er  0.000  0.000  0.500
Te  0.000  0.000  0.000
O  0.169  0.830  0.212
O  0.741  0.743  0.000
O  0.831  0.170  0.212
O  0.831  0.170  0.788
O  0.259  0.257  0.000
O  0.169  0.830  0.788
O  0.706  0.707  0.500
O  0.294  0.293  0.500

Calculated values
- Formation energy (no corrections): -2.400 eV per atom
- Total magnetization: 0.02 μB per atom
- Space-group type: P2/m (10)

Density functional theory data (PBE-GGA) for an optimized crystal structure of AcEr2TeO8.

abc: 4.994 4.996 7.217
angles: 90.00 90.00 90.40
Last column: magnetic moment on the atom in μB.
Fractional positions:
Ac  0.000  0.000  0.500  0.04
Er  0.500  0.500  0.769  -0.01
Er  0.500  0.500  0.231  -0.01
Te  0.000  0.000  0.000  0.00
O  0.187  0.812  0.199  0.00
O  0.720  0.721  0.000  0.01
O  0.813  0.188  0.199  0.00
O  0.813  0.188  0.801  0.00
O  0.280  0.279  0.000  0.01
O  0.187  0.812  0.801  0.00
O  0.667  0.668  0.500  0.17
O  0.333  0.332  0.500  0.17

Calculated values
- Formation energy (no corrections): -2.513 eV per atom
- Total magnetization: 0.04 μB per atom
- Space-group type: P2/m (10)